Computed, not measured: a geometry-optimized AcPaBiBr structure at the PBE level of DFT.

Cell lengths 7.860, 7.860, 7.860 Å; angles 90.00, 90.00, 90.00 degrees
Space group F-43m (No. 216)
Asymmetric unit:
1 Ac 0.000 0.000 0.000 (multiplicity 4)
2 Pa 0.000 0.000 0.500 (multiplicity 4)
3 Bi 0.250 0.250 0.750 (multiplicity 4)
4 Br 0.250 0.250 0.250 (multiplicity 4)

Calculated values
**Electronic total energy**: -5.25 eV per atom
**ρ**: 10.22 g cm⁻³
**Formation energy from raw total energies**: -0.460 eV per atom